# 1
{
  "formula": "In2CuGeF",
  "functional": "GGA-PBE",
  "state": "optimized geometry",
  "e_form_raw_mev_per_atom": -55,
  "relative_energy_mev_per_atom": 114.1,
  "lattice": [[4.9321, 0.0000, 0.0000], [0.0000, 4.4587, 0.0000], [0.0000, 0.0000, 4.9321]],
  "species": ["Ge", "F", "Cu", "In", "In"],
  "fractional_positions": [[0.0000, 0.5000, 0.0000], [0.0000, 0.0000, 0.0000], [0.5000, 0.5000, 0.5000], [0.0000, 0.0000, 0.5000], [0.5000, 0.0000, 0.0000]]
}

# 2
{
  "formula": "KRb2PuI6",
  "functional": "GGA-PBE",
  "state": "optimized geometry",
  "e_form_raw_mev_per_atom": -1334,
  "lattice": [[8.5478, 0.0000, -0.0332], [0.0000, 9.2826, 0.0000], [0.0278, 0.0000, 12.4972]],
  "species": ["K", "K", "Rb", "Rb", "Rb", "Rb", "Pu", "Pu", "I", "I", "I", "I", "I", "I", "I", "I", "I", "I", "I", "I"],
  "fractional_positions": [[0.5000, 0.0000, 0.0000], [0.0000, 0.5000, 0.5000], [0.0340, 0.9136, 0.2489], [0.5340, 0.5864, 0.7489], [0.9660, 0.0864, 0.7511], [0.4660, 0.4136, 0.2511], [0.5000, 0.0000, 0.5000], [0.0000, 0.5000, 0.0000], [0.2946, 0.6796, 0.0596], [0.7946, 0.8204, 0.5596], [0.7054, 0.3204, 0.9404], [0.2054, 0.1796, 0.4404], [0.3329, 0.7124, 0.4390], [0.8329, 0.7876, 0.9390], [0.6671, 0.2876, 0.5610], [0.1671, 0.2124, 0.0610], [0.8804, 0.5399, 0.2330], [0.3804, 0.9601, 0.7330], [0.1196, 0.4601, 0.7670], [0.6196, 0.0399, 0.2670]]
}

We obtain V values of 108.5; 991.6 Å³ per cell for the records listed above, in that order.
We obtain uncorrected energy values of -3.27; -4.00 eV/atom for the records listed above, in that order.
We obtain mass density values of 5.9; 4.1 g/cm³ for the records listed above, in that order.